1.
TbPm8Tm5 PBE relaxed; formation energy = 17.1 kJ/mol of atoms; size of the total moment = 0.00 μB per cell; theoretical density = 7.66 g/cm³; DFT total energy = -4.47 eV per atom; symmetry = C2 (5)
1.0
-0.854 -6.160 -5.826
5.029 6.623 -2.155
3.070 -4.783 6.350
Tm Pm Tb
5 8 1
Direct
0.592 0.000 0.592
0.307 0.038 0.907
0.825 0.738 0.695
0.870 0.962 0.270
0.957 0.262 0.087
0.357 0.270 0.486
0.087 0.209 0.744
0.086 0.783 0.432
0.216 0.730 0.087
0.535 0.791 0.878
0.649 0.217 0.303
0.700 0.454 0.936
0.481 0.546 0.245
0.089 0.500 0.589



2.
Tb4PmTm6 PBE relaxed; formation energy = 30.7 kJ/mol of atoms; size of the total moment = 0.00 μB per cell; theoretical density = 8.25 g/cm³; DFT total energy = -4.24 eV per atom; polymorph energy (0 for the lowest one) = 0 meV per atom; symmetry = I-42m (121)
1.0
7.386 -2.922 -5.445
-5.114 7.934 1.909
-1.884 2.922 8.981
Tm Tb Pm
6 4 1
Direct
0.500 0.500 0.000
0.500 0.000 0.500
0.642 0.191 0.191
0.358 0.549 0.549
0.000 0.809 0.451
0.000 0.451 0.809
0.625 0.986 0.986
0.375 0.361 0.361
0.000 0.014 0.639
0.000 0.639 0.014
0.000 0.000 0.000



3.
Tb2Pm3Tm4 PBE relaxed; formation energy = 14.4 kJ/mol of atoms; size of the total moment = 0.00 μB per cell; theoretical density = 8.09 g/cm³; DFT total energy = -4.45 eV per atom; polymorph energy (0 for the lowest one) = 47 meV per atom; symmetry = C2/m (12)
1.0
3.486 0.000 0.000
-1.743 8.651 -1.516
0.000 3.015 9.194
Tm Pm Tb
4 3 2
Direct
0.505 0.009 0.315
0.174 0.348 0.137
0.495 0.991 0.685
0.826 0.652 0.863
0.000 0.000 0.000
0.836 0.672 0.222
0.164 0.328 0.778
0.329 0.658 0.538
0.671 0.342 0.462



4.
Tb6PmTm2 PBE relaxed; formation energy = 22.3 kJ/mol of atoms; size of the total moment = 0.01 μB per cell; theoretical density = 8.26 g/cm³; DFT total energy = -4.38 eV per atom; polymorph energy (0 for the lowest one) = 214 meV per atom; symmetry = C2/m (12)
1.0
6.037 -0.028 -0.016
0.033 7.433 0.007
0.033 3.710 6.441
Tm Pm Tb
2 1 6
Direct
0.214 0.333 0.333
0.786 0.667 0.667
0.000 0.000 0.000
0.708 0.188 0.188
0.707 0.187 0.623
0.293 0.377 0.813
0.292 0.812 0.812
0.293 0.813 0.377
0.707 0.623 0.187



5.
Tb4Pm5Tm3 PBE relaxed; formation energy = 22.1 kJ/mol of atoms; size of the total moment = 0.00 μB per cell; theoretical density = 7.79 g/cm³; DFT total energy = -4.41 eV per atom; symmetry = C2/m (12)
1.0
5.769 0.000 0.000
2.884 4.919 -0.541
2.884 1.459 13.875
Tb Pm Tm
4 5 3
Direct
0.816 0.004 0.364
0.937 0.000 0.126
0.184 0.996 0.636
0.063 0.000 0.874
0.669 0.665 0.998
0.200 0.343 0.257
0.500 0.500 0.500
0.800 0.657 0.743
0.331 0.335 0.002
0.000 0.500 0.500
0.457 0.338 0.748
0.543 0.662 0.252



6.
Tb2Pm2Tm PBE relaxed; formation energy = 6.6 kJ/mol of atoms; size of the total moment = 0.00 μB per cell; theoretical density = 7.85 g/cm³; DFT total energy = -4.58 eV per atom; polymorph energy (0 for the lowest one) = 0 meV per atom; symmetry = C2/c (15)
1.0
-2.828 5.398 0.677
-9.750 -1.637 0.091
-6.332 -0.569 5.851
Tb Pm Tm
4 4 2
Direct
0.985 0.646 0.543
0.174 0.854 0.957
0.015 0.354 0.457
0.826 0.146 0.043
0.250 0.079 0.312
0.359 0.579 0.812
0.641 0.421 0.188
0.750 0.921 0.688
0.574 0.750 0.250
0.426 0.250 0.750